[1]
4
Lattice="5.2179 0.0000 0.0000 0.0000 5.2179 0.0000 0.0000 0.0000 3.7131" Properties=species:S:1:pos:R:3 comment="SrLaCl2 | Alexandria | PBE | relaxed" e_form_raw_ev_per_atom=-1.220 volume_a3_per_cell=101.1 e_above_lowest_polymorph_kj_per_mol_fu=138.7 pbc="T T T"
Sr 0.0000 0.0000 0.0000
La 2.6089 2.6089 0.0000
Cl 0.0000 2.6089 1.8566
Cl 2.6089 0.0000 1.8566

***

[2]
4
Lattice="0.0000 3.1674 3.1674 3.1674 0.0000 3.1674 3.1674 3.1674 0.0000" Properties=species:S:1:pos:R:3 comment="TiCuSnIr | Alexandria | PBE | relaxed" delta_e_f_ev_per_fu=-1.6 volume_a3_per_cell=63.6 pbc="T T T"
Ti 0.0000 0.0000 0.0000
Cu 4.7512 4.7512 4.7512
Sn 3.1674 3.1674 3.1674
Ir 1.5837 1.5837 1.5837

***

[3]
6
Lattice="3.3715 0.0000 0.0000 0.0003 4.3900 0.0000 1.6452 2.1893 11.8950" Properties=species:S:1:pos:R:3 comment="HgSeS | Alexandria | PBE | relaxed" e_form_raw_ev_per_atom=0.195 volume_a3_per_cell=176.1 e_above_lowest_polymorph_kj_per_mol_fu=18.7 pbc="T T T"
Hg 0.8424 1.1047 0.6385
Hg 4.1746 5.4745 11.2565
Se 2.4946 3.9609 7.6365
Se 2.5224 2.6183 4.2585
S 2.4945 5.7227 8.7949
S 2.5225 0.8565 3.1001